[1]
Compound: SbOs2Pb
Source: Alexandria via LeMat-Bulk
Functional: PBE
Structure: relaxed

Cell and atoms, written as extended XYZ:
```
4
Lattice="8.874 0.005 0.003 8.308 3.118 0.003 8.308 1.510 2.728" Properties=species:S:1:pos:R:3 pbc="T T T"
Os 0.183 0.033 0.020
Os 12.561 2.284 1.348
Sb 19.117 3.475 2.051
Pb 6.372 1.158 0.684
```

Summary:
The uncorrected formation energy is 0.8497 eV/atom. The value obtained for the total magnetization is 0.000 μB/f.u. For the theoretical density, the calculation gives 15644 kg/m³.



[2]
Compound: Sb3OsPb
Source: Alexandria via LeMat-Bulk
Functional: PBE
Structure: relaxed

Cell and atoms, written as extended XYZ:
```
5
Lattice="5.222 0.000 0.000 0.000 5.222 0.000 0.000 0.000 5.222" Properties=species:S:1:pos:R:3 pbc="T T T"
Os 0.000 0.000 0.000
Pb 2.611 2.611 2.611
Sb 2.611 0.000 0.000
Sb 0.000 2.611 0.000
Sb 0.000 0.000 2.611
```

Summary:
The uncorrected formation energy is 0.5712 eV/atom. The value obtained for the total magnetization is 0.000 μB/f.u. For the theoretical density, the calculation gives 8894 kg/m³.



[3]
Compound: SbOs2Pb
Source: Alexandria via LeMat-Bulk
Functional: PBE
Structure: relaxed

Cell and atoms, written as extended XYZ:
```
4
Lattice="-1.108 6.461 -8.515 -1.635 3.815 -9.912 -3.904 5.272 -8.511" Properties=species:S:1:pos:R:3 pbc="T T T"
Os -6.594 15.425 -26.725
Os -1.747 4.087 -7.082
Sb -4.836 11.313 -19.600
Pb -3.439 8.044 -13.937
```

Summary:
The uncorrected formation energy is 0.6581 eV/atom. The value obtained for the total magnetization is 0.000 μB/f.u. For the theoretical density, the calculation gives 13899 kg/m³.



[4]
Compound: SbOs4Pb
Source: Alexandria via LeMat-Bulk
Functional: PBE
Structure: relaxed

Cell and atoms, written as extended XYZ:
```
6
Lattice="4.521 -1.759 2.278 1.459 1.829 4.822 -0.231 -3.228 4.272" Properties=species:S:1:pos:R:3 pbc="T T T"
Os 2.155 -1.184 4.262
Os 2.885 -0.268 6.678
Os 4.419 -2.065 5.403
Pb 4.312 -2.369 8.529
Sb 0.000 0.000 0.000
Os 2.039 -2.800 6.402
```

Summary:
The uncorrected formation energy is 0.9542 eV/atom. The value obtained for the total magnetization is 0.001 μB/f.u. For the theoretical density, the calculation gives 16624 kg/m³.